No. 1
! Hf2AlGaFe2Ir2, optimized geometry, DFT PBE-GGA; values from VASP
&SYSTEM
  ibrav = 0, nat = 8, ntyp = 5
/
ATOMIC_SPECIES
Hf 178.49 Hf.upf
Al 26.98 Al.upf
Ga 69.72 Ga.upf
Fe 55.84 Fe.upf
Ir 192.22 Ir.upf
CELL_PARAMETERS angstrom
4.369 0.000 0.000
0.000 4.369 0.000
0.000 0.000 6.180
ATOMIC_POSITIONS crystal
Hf 0.000 0.000 0.000
Hf 0.500 0.500 0.500
Al 0.000 0.000 0.500
Ga 0.500 0.500 0.000
Fe 0.000 0.500 0.251
Fe 0.500 0.000 0.749
Ir 0.000 0.500 0.747
Ir 0.500 0.000 0.253
! DFT total energy in eV per atom: -8.30

No. 2
! Mg4GaSiPt2, optimized geometry, DFT PBE-GGA; values from VASP
&SYSTEM
  ibrav = 0, nat = 8, ntyp = 4
/
ATOMIC_SPECIES
Mg 24.30 Mg.upf
Ga 69.72 Ga.upf
Si 28.09 Si.upf
Pt 195.08 Pt.upf
CELL_PARAMETERS angstrom
8.591 0.000 0.000
0.000 2.172 3.767
0.000 -2.172 3.767
ATOMIC_POSITIONS crystal
Mg 0.164 0.000 0.000
Mg 0.331 0.332 0.332
Mg 0.669 0.332 0.332
Mg 0.836 0.000 0.000
Ga 0.000 0.667 0.667
Si 0.500 0.665 0.665
Pt 0.000 0.334 0.334
Pt 0.500 0.998 0.998
! DFT total energy in eV per atom: -3.99

No. 3
! PrNpBi, optimized geometry, DFT PBE-GGA; values from VASP
&SYSTEM
  ibrav = 0, nat = 3, ntyp = 3
/
ATOMIC_SPECIES
Pr 140.91 Pr.upf
Np 237.00 Np.upf
Bi 208.98 Bi.upf
CELL_PARAMETERS angstrom
0.000 3.793 3.793
3.793 0.000 3.793
3.793 3.793 0.000
ATOMIC_POSITIONS crystal
Pr 0.000 0.000 0.000
Np 0.250 0.250 0.250
Bi 0.750 0.750 0.750
! DFT total energy in eV per atom: -6.66

No. 4
! GdDyCu6, optimized geometry, DFT PBE-GGA; values from VASP
&SYSTEM
  ibrav = 0, nat = 8, ntyp = 3
/
ATOMIC_SPECIES
Gd 157.25 Gd.upf
Dy 162.50 Dy.upf
Cu 63.55 Cu.upf
CELL_PARAMETERS angstrom
4.280 0.000 0.000
0.000 5.864 0.000
0.000 0.000 5.298
ATOMIC_POSITIONS crystal
Gd 0.000 0.000 0.000
Dy 0.500 0.500 0.745
Cu 0.000 0.221 0.503
Cu 0.000 0.500 0.141
Cu 0.000 0.779 0.503
Cu 0.500 0.000 0.594
Cu 0.500 0.285 0.242
Cu 0.500 0.715 0.242
! Calculated formation energy in eV/atom: -0.180

No. 5
! HoZrSb, optimized geometry, DFT PBE-GGA; values from VASP
&SYSTEM
  ibrav = 0, nat = 6, ntyp = 3
/
ATOMIC_SPECIES
Ho 164.93 Ho.upf
Zr 91.22 Zr.upf
Sb 121.76 Sb.upf
CELL_PARAMETERS angstrom
-2.109 2.109 8.267
2.109 -2.109 8.267
2.109 2.109 -8.267
ATOMIC_POSITIONS crystal
Ho 0.000 0.500 0.500
Ho 0.500 0.000 0.500
Zr 0.180 0.180 0.000
Zr 0.820 0.820 0.000
Sb 0.357 0.357 0.000
Sb 0.643 0.643 0.000
! DFT total energy in eV per atom: -6.29

No. 6
! Nd3Ni, optimized geometry, DFT PBE-GGA; values from VASP
&SYSTEM
  ibrav = 0, nat = 4, ntyp = 2
/
ATOMIC_SPECIES
Nd 144.24 Nd.upf
Ni 58.69 Ni.upf
CELL_PARAMETERS angstrom
-2.265 2.265 5.327
2.265 -2.265 5.327
2.265 2.265 -5.327
ATOMIC_POSITIONS crystal
Nd 0.000 0.000 0.000
Nd 0.250 0.750 0.500
Nd 0.750 0.250 0.500
Ni 0.500 0.500 0.000
! Calculated formation energy in eV/atom: 0.192

No. 7
! YHgSO, optimized geometry, DFT PBE-GGA; values from VASP
&SYSTEM
  ibrav = 0, nat = 8, ntyp = 4
/
ATOMIC_SPECIES
Y 88.91 Y.upf
Hg 200.59 Hg.upf
S 32.06 S.upf
O 16.00 O.upf
CELL_PARAMETERS angstrom
4.579 0.000 0.000
0.000 8.651 0.000
0.000 0.000 5.241
ATOMIC_POSITIONS crystal
Y 0.000 0.141 0.000
Y 0.000 0.859 0.500
Hg 0.500 0.312 0.566
Hg 0.500 0.688 0.066
S 0.500 0.307 0.072
S 0.500 0.693 0.572
O 0.000 0.091 0.607
O 0.000 0.909 0.107
! ΔE to the lowest computed polymorph in kJ per mole of atoms: 22.48

No. 8
! Cs2PdC4, optimized geometry, DFT PBE-GGA; values from VASP
&SYSTEM
  ibrav = 0, nat = 7, ntyp = 3
/
ATOMIC_SPECIES
Cs 132.91 Cs.upf
Pd 106.42 Pd.upf
C 12.01 C.upf
CELL_PARAMETERS angstrom
-3.518 3.518 3.993
3.518 -3.518 3.993
3.518 3.518 -3.993
ATOMIC_POSITIONS crystal
Cs 0.250 0.750 0.500
Cs 0.750 0.250 0.500
Pd 0.000 0.000 0.000
C 0.352 0.500 0.852
C 0.500 0.352 0.852
C 0.500 0.648 0.148
C 0.648 0.500 0.148
! DFT total energy in eV per atom: -4.57